A relaxed CdW crystal, computed with GGA-PBEsol.

Summary:
Offset from the most stable computed form: 1.191 eV per atom
Energy of formation: 1.525 eV/atom

The structure in POSCAR format:
```
CdW
1.0
-1.217 4.325 -0.368
-3.143 -3.188 0.533
0.311 0.496 4.800
Cd W
2 2
direct
0.667 0.333 0.750
0.333 0.667 0.250
0.000 0.000 0.000
0.000 0.000 0.500
```

---

A relaxed CdW crystal, computed with GGA-PBEsol.

Summary:
Offset from the most stable computed form: 0.000 eV per atom
Energy of formation: 0.334 eV/atom

The structure in POSCAR format:
```
CdW
1.0
2.791 0.023 0.000
-0.975 2.615 0.000
0.000 0.000 9.619
Cd W
2 2
direct
0.250 0.750 0.137
0.750 0.250 0.863
0.250 0.750 0.609
0.750 0.250 0.391
```

---

A relaxed CdW crystal, computed with GGA-PBEsol.

Summary:
Offset from the most stable computed form: 0.247 eV per atom
Energy of formation: 0.581 eV/atom

The structure in POSCAR format:
```
CdW
1.0
2.720 0.000 0.000
0.000 4.315 0.000
0.000 0.000 5.952
Cd W
2 2
direct
0.000 0.000 0.620
0.500 0.500 0.380
0.000 0.000 0.099
0.500 0.500 0.901
```

---

A relaxed YCdW crystal, computed with GGA-PBEsol.

Summary:
Energy of formation: 1.192 eV/atom

The structure in POSCAR format:
```
YCdW
1.0
4.735 0.000 0.000
2.368 4.101 0.000
2.368 1.367 3.866
Cd W Y
1 1 1
direct
0.500 0.500 0.500
0.250 0.250 0.250
0.000 0.000 0.000
```

---

A relaxed YCd3W crystal, computed with GGA-PBEsol.

Summary:
Energy of formation: 0.920 eV/atom

The structure in POSCAR format:
```
YCd3W
1.0
5.107 0.000 0.000
0.000 5.107 0.000
0.000 0.000 5.107
Y W Cd
1 1 3
direct
0.500 0.500 0.500
0.000 0.000 0.000
0.000 0.500 0.000
0.000 0.000 0.500
0.500 0.000 0.000
```

---

A relaxed YCdW2 crystal, computed with GGA-PBEsol.

Summary:
Energy of formation: 0.600 eV/atom

The structure in POSCAR format:
```
YCdW2
1.0
3.999 0.000 0.000
0.000 3.999 0.000
0.000 0.000 4.712
Cd W Y
1 2 1
direct
0.000 0.000 0.500
0.000 0.500 0.000
0.500 0.000 0.000
0.500 0.500 0.500
```

---

A relaxed ZnCd3W crystal, computed with GGA-PBEsol.

Summary:
Energy of formation: 1.470 eV/atom

The structure in POSCAR format:
```
ZnCd3W
1.0
-2.405 1.116 4.646
1.288 -4.858 1.833
4.601 1.943 1.915
Zn W Cd
1 1 3
direct
0.500 0.500 0.500
0.000 0.000 0.000
0.000 0.500 0.000
0.000 0.000 0.500
0.500 0.000 0.000
```

---

A relaxed Zn2CdW crystal, computed with GGA-PBEsol.

Summary:
Energy of formation: 0.297 eV/atom

The structure in POSCAR format:
```
Zn2CdW
1.0
-1.693 -2.114 0.267
0.825 -0.153 -2.589
6.716 -5.071 2.440
Cd W Zn
1 1 2
direct
0.000 0.000 0.503
0.500 0.500 0.232
0.000 0.000 0.996
0.500 0.500 0.768
```

---

Number 1: total moment 0.00 Bohr magnetons per cell, N(E_F) 4.60 states/eV per cell. Number 2: total moment 0.00 Bohr magnetons per cell, N(E_F) 1.35 states/eV per cell. Number 3: total moment 0.00 Bohr magnetons per cell, N(E_F) 2.05 states/eV per cell. Number 4: total moment 2.96 Bohr magnetons per cell, N(E_F) 1.25 states/eV per cell. Number 5: total moment 0.00 Bohr magnetons per cell, N(E_F) 5.02 states/eV per cell. Number 6: total moment 0.00 Bohr magnetons per cell, N(E_F) 2.94 states/eV per cell. Number 7: total moment 3.30 Bohr magnetons per cell, N(E_F) 4.31 states/eV per cell. Number 8: total moment 0.00 Bohr magnetons per cell, N(E_F) 1.34 states/eV per cell.